# 1
EuDyErTh | GGA-PBE | optimized geometry

As for the total energy: -6.52 eV per atom. Its theoretical density is 8.9 g/cm3. The density of states at the Fermi level comes out at 28.46 states/eV/cell. The formation energy comes out at 76 kJ/mol of formula units.

The structure belongs to space group F-43m (No. 216); the cell edges are 8.1045, 8.1045 and 8.1045 Å and the angles 90.00°, 90.00° and 90.00°. The distinct sites, in fractional coordinates, are Eu at (0.0000, 0.0000, 0.0000), Dy at (0.2500, 0.2500, 0.2500), Er at (0.2500, 0.2500, 0.7500) and Th at (0.0000, 0.0000, 0.5000).

=====

# 2
EuDyErTm | GGA-PBE | optimized geometry

As for the total energy: -5.81 eV per atom. Its theoretical density is 8.3 g/cm3. The density of states at the Fermi level comes out at 30.57 states/eV/cell. The formation energy comes out at 65 kJ/mol of formula units.

The structure belongs to space group F-43m (No. 216); the cell edges are 8.0590, 8.0590 and 8.0590 Å and the angles 90.00°, 90.00° and 90.00°. The distinct sites, in fractional coordinates, are Eu at (0.0000, 0.0000, 0.0000), Dy at (0.2500, 0.2500, 0.2500), Er at (0.0000, 0.0000, 0.5000) and Tm at (0.2500, 0.2500, 0.7500).

=====

# 3
Dy2ErF | GGA-PBE | optimized geometry

As for the total energy: -5.05 eV per atom. For the formation energy without anion corrections, the calculation gives -1.14 eV per atom. Its theoretical density is 8.7 g/cm3. The density of states at the Fermi level comes out at 8.93 states/eV/cell.

The structure belongs to space group R-3m (No. 166, hexagonal axes); the cell edges are 3.6703, 3.6703 and 25.2016 Å and the angles 90.00°, 90.00° and 120.00°. The distinct sites, in fractional coordinates, are Dy at (0.0000, 0.0000, 0.2232), Er at (0.0000, 0.0000, 0.0000) and F at (0.0000, 0.0000, 0.5000).

=====

# 4
DyEr2F11 | GGA-PBE | optimized geometry

As for the total energy: -5.92 eV per atom. For the formation energy without anion corrections, the calculation gives -3.47 eV per atom. Its theoretical density is 5.0 g/cm3. The density of states at the Fermi level comes out at 45.79 states/eV/cell.

The structure belongs to space group Ibam (No. 72); the cell edges are 8.2814, 10.1554 and 11.0738 Å and the angles 90.00°, 90.00° and 90.00°. The distinct sites, in fractional coordinates, are Dy at (0.0000, 0.0000, 0.2500), Er at (0.1584, 0.3108, 0.0000), F at (0.0000, 0.5000, 0.0000), F at (0.1025, 0.1712, 0.1425), F at (0.1098, 0.3044, 0.5000) and F at (0.2078, 0.0764, 0.3664).

=====

# 5
Dy3ErF | GGA-PBE | optimized geometry

As for the total energy: -4.97 eV per atom. For the formation energy without anion corrections, the calculation gives -0.92 eV per atom. Its theoretical density is 8.8 g/cm3. The density of states at the Fermi level comes out at 5.07 states/eV/cell.

The structure belongs to space group Pm-3m (No. 221); the cell edges are 5.0193, 5.0193 and 5.0193 Å and the angles 90.00°, 90.00° and 90.00°. The distinct sites, in fractional coordinates, are Dy at (0.0000, 0.0000, 0.5000), Er at (0.5000, 0.5000, 0.5000) and F at (0.0000, 0.0000, 0.0000).

=====

# 6
DyErF | GGA-PBE | optimized geometry

As for the total energy: -5.23 eV per atom. For the formation energy without anion corrections, the calculation gives -1.55 eV per atom. Its theoretical density is 8.4 g/cm3. The density of states at the Fermi level comes out at 10.72 states/eV/cell.

The structure belongs to space group C2/m (No. 12); the cell edges are 13.1928, 3.4933 and 7.0948 Å and the angles 90.00°, 122.19° and 90.00°. The distinct sites, in fractional coordinates, are Dy at (0.2333, 0.0000, 0.2635), Er at (0.0055, 0.5000, 0.7777) and F at (0.1553, 0.0000, 0.8738).

=====

# 7
DyEr2F | GGA-PBE | optimized geometry

As for the total energy: -4.73 eV per atom. For the formation energy without anion corrections, the calculation gives -0.83 eV per atom. Its theoretical density is 8.4 g/cm3. The density of states at the Fermi level comes out at 21.25 states/eV/cell.

The structure belongs to space group R-3m (No. 166, hexagonal axes); the cell edges are 3.5865, 3.5865 and 27.4425 Å and the angles 90.00°, 90.00° and 120.00°. The distinct sites, in fractional coordinates, are Dy at (0.0000, 0.0000, 0.0000), Er at (0.0000, 0.0000, 0.1178) and F at (0.0000, 0.0000, 0.5000).

=====

# 8
DyErFe | GGA-PBE | optimized geometry

As for the total energy: -5.83 eV per atom. Its theoretical density is 8.8 g/cm3. The density of states at the Fermi level comes out at 26.13 states/eV/cell. The formation energy comes out at 12 kJ/mol of formula units.

The structure belongs to space group Cmce (No. 64); the cell edges are 6.7782, 11.8233 and 7.2849 Å and the angles 90.00°, 90.00° and 90.00°. The distinct sites, in fractional coordinates, are Dy at (0.0000, 0.1973, 0.1134), Er at (0.2500, 0.0444, 0.7500) and Fe at (0.0000, 0.0924, 0.4562).

=====

# 9
Dy3ErFe | GGA-PBE | optimized geometry

As for the total energy: -5.24 eV per atom. Its theoretical density is 8.1 g/cm3. The density of states at the Fermi level comes out at 7.63 states/eV/cell. The formation energy comes out at 62 kJ/mol of formula units.

The structure belongs to space group Pm-3m (No. 221); the cell edges are 5.2518, 5.2518 and 5.2518 Å and the angles 90.00°, 90.00° and 90.00°. The distinct sites, in fractional coordinates, are Dy at (0.0000, 0.0000, 0.5000), Er at (0.5000, 0.5000, 0.5000) and Fe at (0.0000, 0.0000, 0.0000).

=====

# 10
DyEr3Fe | GGA-PBE | optimized geometry

As for the total energy: -5.34 eV per atom. Its theoretical density is 8.8 g/cm3. The density of states at the Fermi level comes out at 12.41 states/eV/cell. The formation energy comes out at 7 kJ/mol of formula units.

The structure belongs to space group P2_1/m (No. 11); the cell edges are 8.7709, 3.5829 and 9.1058 Å and the angles 90.00°, 109.05° and 90.00°. The distinct sites, in fractional coordinates, are Dy at (0.1375, 0.2500, 0.4373), Er at (0.1643, 0.7500, 0.1275), Er at (0.2121, 0.2500, 0.8254), Er at (0.4890, 0.7500, 0.6966) and Fe at (0.4418, 0.7500, 0.0338).

=====

# 11
DyErFe | GGA-PBE | optimized geometry

As for the total energy: -5.85 eV per atom. Its theoretical density is 9.2 g/cm3. The density of states at the Fermi level comes out at 3.39 states/eV/cell. The formation energy comes out at 9 kJ/mol of formula units.

The structure belongs to space group I4mm (No. 107); the cell edges are 3.3076, 3.3076 and 12.7381 Å and the angles 90.00°, 90.00° and 90.00°. The distinct sites, in fractional coordinates, are Dy at (0.0000, 0.0000, 0.0000), Er at (0.0000, 0.0000, 0.2514) and Fe at (0.0000, 0.0000, 0.6271).

=====

# 12
Dy2ErFe9 | GGA-PBE | optimized geometry

As for the total energy: -7.57 eV per atom. Its theoretical density is 9.2 g/cm3. The density of states at the Fermi level comes out at 45.14 states/eV/cell. The formation energy comes out at -90 kJ/mol of formula units.

The structure belongs to space group R-3m (No. 166, hexagonal axes); the cell edges are 5.0762, 5.0762 and 24.2272 Å and the angles 90.00°, 90.00° and 120.00°. The distinct sites, in fractional coordinates, are Dy at (0.0000, 0.0000, 0.1418), Er at (0.0000, 0.0000, 0.0000), Fe at (0.0000, 0.0000, 0.3329), Fe at (0.0000, 0.0000, 0.5000) and Fe at (0.0003, 0.5002, 0.0811).

=====

# 13
DyEr3Fe | GGA-PBE | optimized geometry

As for the total energy: -5.25 eV per atom. Its theoretical density is 8.4 g/cm3. The density of states at the Fermi level comes out at 7.68 states/eV/cell. The formation energy comes out at 48 kJ/mol of formula units.

The structure belongs to space group Pm-3m (No. 221); the cell edges are 5.2153, 5.2153 and 5.2153 Å and the angles 90.00°, 90.00° and 90.00°. The distinct sites, in fractional coordinates, are Dy at (0.0000, 0.0000, 0.0000), Er at (0.0000, 0.5000, 0.5000) and Fe at (0.5000, 0.5000, 0.5000).

=====

# 14
DyEr2Fe9 | GGA-PBE | optimized geometry

As for the total energy: -7.58 eV per atom. Its theoretical density is 9.3 g/cm3. The density of states at the Fermi level comes out at 40.60 states/eV/cell. The formation energy comes out at -109 kJ/mol of formula units.

The structure belongs to space group R-3m (No. 166, hexagonal axes); the cell edges are 5.0671, 5.0671 and 24.1007 Å and the angles 90.00°, 90.00° and 120.00°. The distinct sites, in fractional coordinates, are Dy at (0.0000, 0.0000, 0.0000), Er at (0.0000, 0.0000, 0.1420), Fe at (0.0000, 0.0000, 0.3329), Fe at (0.0000, 0.0000, 0.5000) and Fe at (0.9998, 0.4999, 0.0819).